Computed, not measured: a relaxed structure of K2Na4Tl2Hg at the PBE level of DFT.

Computed properties:
density	4.040	g/cm³
symmetry	C2/m
calculated formation energy	-116	meV per atom

a = 7.960 Å, b = 6.741 Å, c = 6.741 Å
α = 63.70°, β = 97.55°, γ = 97.55°
Element x y z (fractional)
1 K 0.393 0.664 0.664
2 K 0.607 0.336 0.336
3 Na 0.143 0.632 0.136
4 Na 0.857 0.864 0.368
5 Na 0.857 0.368 0.864
6 Na 0.143 0.136 0.632
7 Tl 0.199 0.133 0.133
8 Tl 0.801 0.867 0.867
9 Hg 0.500 0.000 0.000